1.
# DyEr2PdPt2Pb3, relaxed, DFT PBE
# Uncorrected energy = -5.493 eV per atom
# Crystal system = orthorhombic
data_DyEr2PdPt2Pb3
_cell_length_a 3.917
_cell_length_b 13.450
_cell_length_c 7.751
_cell_angle_alpha 90.00
_cell_angle_beta 90.00
_cell_angle_gamma 90.00
_symmetry_space_group_name_H-M 'A m m 2'
_symmetry_Int_Tables_number 38
_symmetry_space_group_name_Hall 'A 2 -2'
loop_
_atom_site_label
_atom_site_type_symbol
_atom_site_fract_x
_atom_site_fract_y
_atom_site_fract_z
Dy1 Dy 0.000 0.000 0.000
Er1 Er 0.000 0.203 0.390
Pd1 Pd 0.000 0.000 0.592
Pt1 Pt 0.500 0.168 0.094
Pb1 Pb 0.500 0.000 0.331
Pb2 Pb 0.500 0.131 0.725

***

2.
# ZnSnSO, relaxed, DFT PBE
# Uncorrected energy = -4.402 eV per atom
# Crystal system = orthorhombic
data_ZnSnSO
_cell_length_a 6.352
_cell_length_b 11.853
_cell_length_c 8.310
_cell_angle_alpha 90.00
_cell_angle_beta 90.00
_cell_angle_gamma 90.00
_symmetry_space_group_name_H-M 'P b c a'
_symmetry_Int_Tables_number 61
_symmetry_space_group_name_Hall '-P 2ac 2ab'
loop_
_atom_site_label
_atom_site_type_symbol
_atom_site_fract_x
_atom_site_fract_y
_atom_site_fract_z
Zn1 Zn 0.197 0.019 0.123
Sn1 Sn 0.089 0.209 0.402
S1 S 0.129 0.070 0.846
O1 O 0.221 0.674 0.199

***

3.
# La2Tb2H9, relaxed, DFT PBE
# Uncorrected energy = -4.448 eV per atom
# Crystal system = tetragonal
data_La2Tb2H9
_cell_length_a 5.327
_cell_length_b 5.327
_cell_length_c 10.990
_cell_angle_alpha 90.00
_cell_angle_beta 90.00
_cell_angle_gamma 90.00
_symmetry_space_group_name_H-M 'I 4/m m m'
_symmetry_Int_Tables_number 139
_symmetry_space_group_name_Hall '-I 4 2'
loop_
_atom_site_label
_atom_site_type_symbol
_atom_site_fract_x
_atom_site_fract_y
_atom_site_fract_z
La1 La 0.000 0.500 0.000
Tb1 Tb 0.000 0.000 0.248
H1 H 0.000 0.000 0.000
H2 H 0.244 0.244 0.362

***

4.
# HoZnPd, relaxed, DFT PBE
# ΔE_f = -0.659 eV/atom
# Crystal system = hexagonal
data_HoZnPd
_cell_length_a 7.1493
_cell_length_b 7.1493
_cell_length_c 3.9008
_cell_angle_alpha 90.00
_cell_angle_beta 90.00
_cell_angle_gamma 120.00
_symmetry_space_group_name_H-M 'P -6 2 m'
_symmetry_Int_Tables_number 189
_symmetry_space_group_name_Hall 'P -6 -2'
loop_
_atom_site_label
_atom_site_type_symbol
_atom_site_fract_x
_atom_site_fract_y
_atom_site_fract_z
Ho1 Ho 0.0000 0.5923 0.0000
Zn1 Zn 0.0000 0.0000 0.0000
Zn2 Zn 0.3333 0.6667 0.5000
Pd1 Pd 0.0000 0.2531 0.5000

***

5.
# HfNbTlCu, relaxed, DFT PBE
# Uncorrected energy = -6.028 eV per atom
# Crystal system = cubic
data_HfNbTlCu
_cell_length_a 6.760
_cell_length_b 6.760
_cell_length_c 6.760
_cell_angle_alpha 90.00
_cell_angle_beta 90.00
_cell_angle_gamma 90.00
_symmetry_space_group_name_H-M 'F -4 3 m'
_symmetry_Int_Tables_number 216
_symmetry_space_group_name_Hall 'F -4 2 3'
loop_
_atom_site_label
_atom_site_type_symbol
_atom_site_fract_x
_atom_site_fract_y
_atom_site_fract_z
Hf1 Hf 0.000 0.000 0.000
Nb1 Nb 0.250 0.250 0.250
Tl1 Tl 0.000 0.000 0.500
Cu1 Cu 0.250 0.250 0.750

***

6.
# Cs2HfCu2Se4, relaxed, DFT PBE
# Uncorrected energy = -4.674 eV per atom
# Crystal system = orthorhombic
data_Cs2HfCu2Se4
_cell_length_a 5.993
_cell_length_b 14.686
_cell_length_c 5.996
_cell_angle_alpha 90.00
_cell_angle_beta 90.00
_cell_angle_gamma 90.00
_symmetry_space_group_name_H-M 'C 2 2 2'
_symmetry_Int_Tables_number 21
_symmetry_space_group_name_Hall 'C 2 2'
loop_
_atom_site_label
_atom_site_type_symbol
_atom_site_fract_x
_atom_site_fract_y
_atom_site_fract_z
Cs1 Cs 0.250 0.250 0.247
Hf1 Hf 0.000 0.000 0.500
Cu1 Cu 0.000 0.000 0.000
Cu2 Cu 0.000 0.500 0.500
Se1 Se 0.249 0.094 0.749

***

7.
# TeAsWAu, relaxed, DFT PBE
# Uncorrected energy = -5.280 eV per atom
# Crystal system = cubic
data_TeAsWAu
_cell_length_a 6.752
_cell_length_b 6.752
_cell_length_c 6.752
_cell_angle_alpha 90.00
_cell_angle_beta 90.00
_cell_angle_gamma 90.00
_symmetry_space_group_name_H-M 'F -4 3 m'
_symmetry_Int_Tables_number 216
_symmetry_space_group_name_Hall 'F -4 2 3'
loop_
_atom_site_label
_atom_site_type_symbol
_atom_site_fract_x
_atom_site_fract_y
_atom_site_fract_z
Te1 Te 0.000 0.000 0.000
As1 As 0.000 0.000 0.500
W1 W 0.250 0.250 0.250
Au1 Au 0.250 0.250 0.750

***

8.
# Cs2Na2HgP2, relaxed, DFT PBE
# Uncorrected energy = -2.457 eV per atom
# Crystal system = trigonal
data_Cs2Na2HgP2
_cell_length_a 5.9359
_cell_length_b 5.9359
_cell_length_c 25.5134
_cell_angle_alpha 90.00
_cell_angle_beta 90.00
_cell_angle_gamma 120.00
_symmetry_space_group_name_H-M 'R -3 m'
_symmetry_Int_Tables_number 166
_symmetry_space_group_name_Hall '-R 3 2"'
loop_
_atom_site_label
_atom_site_type_symbol
_atom_site_fract_x
_atom_site_fract_y
_atom_site_fract_z
Cs1 Cs 0.0000 0.0000 0.1049
Na1 Na 0.0000 0.0000 0.2966
Hg1 Hg 0.0000 0.0000 0.5000
P1 P 0.0000 0.0000 0.4051